*A*
SrP2Pt after structural relaxation. Source: Alexandria via LeMat-Bulk, functional GGA-PBEsol.

Unit cell a=4.0197 b=4.0197 c=6.5251 alpha=90.00 beta=90.00 gamma=119.56
Sites, in units of the cell vectors:
Sr 0.0000 0.0000 0.0000
P 0.5000 0.5000 0.3186
P 0.5000 0.5000 0.6814
Pt 0.0000 0.0000 0.5000


*B*
SrP2Pt after structural relaxation. Source: Alexandria via LeMat-Bulk, functional GGA-PBEsol.

Unit cell a=6.1974 b=6.1974 c=7.1138 alpha=90.00 beta=90.00 gamma=143.76
Sites, in units of the cell vectors:
Sr 0.1669 0.8331 0.7500
Sr 0.8331 0.1669 0.2500
P 0.4118 0.5882 0.5538
P 0.4118 0.5882 0.9462
P 0.5882 0.4118 0.0538
P 0.5882 0.4118 0.4462
Pt 0.0994 0.9006 0.2500
Pt 0.9006 0.0994 0.7500


*C*
SrP2Pt after structural relaxation. Source: Alexandria via LeMat-Bulk, functional GGA-PBEsol.

Unit cell a=4.4427 b=4.1998 c=4.6493 alpha=90.00 beta=94.98 gamma=90.00
Sites, in units of the cell vectors:
Sr 0.0000 0.0000 0.0000
P 0.5382 0.0000 0.4533
P 0.8472 0.5000 0.4710
Pt 0.3496 0.5000 0.6090


*D*
SrP2Pt after structural relaxation. Source: Alexandria via LeMat-Bulk, functional GGA-PBEsol.

Unit cell a=5.4356 b=5.4356 c=4.6088 alpha=101.06 beta=101.06 gamma=43.39
Sites, in units of the cell vectors:
Sr 0.0000 0.0000 0.0000
P 0.5854 0.5854 0.5183
P 0.7942 0.7942 0.4196
Pt 0.2282 0.2282 0.5949


Most stable structure - *B*; separation to the second - 237 meV per atom.


*A*
TlPPt2 after structural relaxation. Source: Alexandria via LeMat-Bulk, functional GGA-PBEsol.

Unit cell a=5.1697 b=5.1697 c=5.1697 alpha=135.70 beta=135.70 gamma=64.44
Sites, in units of the cell vectors:
Tl 0.0000 0.0000 0.0000
P 0.7500 0.2500 0.5000
Pt 0.2500 0.7500 0.5000
Pt 0.5000 0.5000 0.0000


*B*
TlPPt2 after structural relaxation. Source: Alexandria via LeMat-Bulk, functional GGA-PBEsol.

Unit cell a=4.3145 b=4.3145 c=5.7999 alpha=97.13 beta=97.13 gamma=44.98
Sites, in units of the cell vectors:
Tl 0.0000 0.0000 0.0000
P 0.2129 0.2129 0.5545
Pt 0.5078 0.5078 0.5809
Pt 0.7511 0.7511 0.2799


Most stable structure - *B*; separation to the second - 380 meV per atom.


*A*
YP2Pt after structural relaxation. Source: Alexandria via LeMat-Bulk, functional GGA-PBEsol.

Unit cell a=4.7284 b=4.7284 c=4.7284 alpha=130.74 beta=108.57 gamma=91.65
Sites, in units of the cell vectors:
Y 0.0000 0.0000 0.0000
P 0.3050 0.8050 0.5000
P 0.6950 0.1950 0.5000
Pt 0.5000 0.5000 0.0000


*B*
YP2Pt after structural relaxation. Source: Alexandria via LeMat-Bulk, functional GGA-PBEsol.

Unit cell a=3.5652 b=3.5652 c=5.5534 alpha=90.00 beta=90.00 gamma=90.00
Sites, in units of the cell vectors:
Y 0.0000 0.0000 0.0000
P 0.0000 0.0000 0.5062
P 0.5000 0.5000 0.1747
Pt 0.5000 0.5000 0.6117


Most stable structure - *A*; separation to the second - 120 meV per atom.